[1]
Computed, not measured: crystalline K2CrCd at its relaxed geometry at the GGA-PBE level of DFT.

a = 5.7940 Å, b = 5.7940 Å, c = 5.7940 Å
α = 120.94°, β = 120.94°, γ = 88.38°
Positions (direct):
Cd (0.5000, 0.5000, 0.0000)
K (0.0000, 0.0000, 0.0000)
K (0.2500, 0.7500, 0.5000)
Cr (0.7500, 0.2500, 0.5000)

- M_tot: 5.1 Bohr magnetons per cell
- Total energy: -2.6057 eV/atom


[2]
Computed, not measured: crystalline KCrCd2 at its relaxed geometry at the GGA-PBE level of DFT.

a = 5.2605 Å, b = 5.2605 Å, c = 7.0960 Å
α = 83.50°, β = 83.50°, γ = 35.79°
Positions (direct):
Cd (0.7522, 0.7522, 0.7223)
Cd (0.0132, 0.0132, 0.9282)
Cr (0.4842, 0.4842, 0.5985)
K (0.2505, 0.2505, 0.2510)

- M_tot: 4.5 Bohr magnetons per cell
- Energy above the lowest structure with this stoichiometry: 104.2 meV per atom
- Total energy: -2.7017 eV/atom


[3]
Computed, not measured: crystalline KCrCd2 at its relaxed geometry at the GGA-PBE level of DFT.

a = 10.7399 Å, b = 10.7399 Å, c = 10.7399 Å
α = 18.19°, β = 18.19°, γ = 18.19°
Positions (direct):
Cd (0.9854, 0.9854, 0.9854)
Cd (0.5146, 0.5146, 0.5146)
K (0.7500, 0.7500, 0.7500)
Cr (0.2500, 0.2500, 0.2500)

- M_tot: 4.3 Bohr magnetons per cell
- Energy above the lowest structure with this stoichiometry: 147.7 meV per atom
- Total energy: -2.6581 eV/atom